! Pr3TaSe2O4F2 (GGA-PBE, relaxed); values from VASP
! ρ   7248 kg/m3
! E_tot   -7.78 eV/atom
&SYSTEM
  ibrav = 0, nat = 48, ntyp = 5
/
ATOMIC_SPECIES
F 19.00 F.upf
O 16.00 O.upf
Pr 140.91 Pr.upf
Se 78.96 Se.upf
Ta 180.95 Ta.upf
ATOMIC_POSITIONS angstrom
F -1.205 1.648 4.519
F -1.175 -0.619 5.682
F -1.396 -0.821 11.996
F -1.360 -3.143 13.041
F -2.871 -8.220 4.658
F -2.834 -10.543 5.704
F -3.056 -10.745 12.018
F -3.025 -13.011 13.181
O -3.086 -0.288 3.532
O -1.034 -2.077 3.086
O -3.330 0.063 9.973
O -3.191 -1.321 7.370
O -2.927 -3.965 2.426
O -3.063 -2.796 5.133
O -1.261 -1.936 9.235
O -3.274 -2.752 10.935
O -0.957 -8.611 6.764
O -2.970 -9.427 8.465
O -1.168 -8.568 12.567
O -1.303 -7.398 15.273
O -1.039 -10.043 10.330
O -0.901 -11.426 7.726
O -3.197 -9.286 14.613
O -1.145 -11.076 14.167
Pr -1.088 0.492 2.287
Pr -3.198 0.641 5.821
Pr -1.427 1.316 10.952
Pr -1.142 -2.766 6.701
Pr -2.870 -6.398 2.993
Pr -1.244 -4.163 10.745
Pr -2.987 -7.200 6.955
Pr -1.361 -4.965 14.707
Pr -3.088 -8.597 10.999
Pr -2.803 -12.679 6.747
Pr -1.032 -12.004 11.878
Pr -3.143 -11.855 15.412
Se -2.946 -1.317 0.584
Se -1.339 1.949 7.934
Se -1.004 -5.518 5.311
Se -3.125 -4.411 8.290
Se -1.106 -6.952 9.410
Se -3.227 -5.845 12.388
Se -2.892 -13.312 9.765
Se -1.285 -10.046 17.116
Ta -3.015 -2.289 3.369
Ta -3.250 -1.631 9.269
Ta -0.981 -9.732 8.431
Ta -1.215 -9.075 14.331
CELL_PARAMETERS angstrom
-0.521 4.853 10.097
-3.947 -0.127 -0.143
0.238 -16.089 7.745